Record 1
DFT (PBE) results for an optimized crystal structure of LiSm4Y5.

Cell: 3.621 3.621 24.097 Å, 90.00 90.00 90.00°
Element x y z (fractional)
Li: 0.000 0.000 0.000
Sm: 0.000 0.000 0.184
Sm: 0.000 0.000 0.395
Sm: 0.000 0.000 0.605
Sm: 0.000 0.000 0.816
Y: 0.500 0.500 0.081
Y: 0.500 0.500 0.290
Y: 0.500 0.500 0.500
Y: 0.500 0.500 0.710
Y: 0.500 0.500 0.919

Properties
Space group   P4/mmm (123)
M_tot   0.000 μB per atom
ΔH_f (0 K)   0.4 eV/f.u.
Crystal system   tetragonal

Record 2
DFT (PBE) results for an optimized crystal structure of CsMg2SbBr.

Cell: 5.555 5.555 6.310 Å, 90.00 90.00 90.00°
Element x y z (fractional)
Cs: 0.000 0.000 0.000
Mg: 0.000 0.500 0.500
Mg: 0.500 0.000 0.500
Sb: 0.500 0.500 0.000
Br: 0.000 0.000 0.500

Properties
Space group   P4/mmm (123)
M_tot   0.000 μB per atom
Raw formation energy   0.04 eV per atom
Crystal system   tetragonal

Record 3
DFT (PBE) results for an optimized crystal structure of BeZnF2.

Cell: 9.132 9.132 9.132 Å, 16.32 16.32 16.32°
Element x y z (fractional)
Be: 0.000 0.000 0.000
Zn: 0.500 0.500 0.500
F: 0.367 0.367 0.367
F: 0.633 0.633 0.633

Properties
Distance to the lowest polymorph of the same formula   0 meV/atom
Space group   R-3m (166)
M_tot   0.000 μB per atom
Raw formation energy   -2.12 eV per atom
Crystal system   trigonal